[1]
Below is a relaxed structure of InPCl, with properties calculated at the GGA-PBEsol level.

The space-group type is P3m1 (156). Its energy relative to the lowest polymorph listed for this composition is 0.0 meV/atom. The value obtained for the formation energy from raw total energies is -2.3 kJ per mole of atoms.

Unit cell a=4.112 b=4.112 c=4.786 alpha=90.00 beta=90.00 gamma=120.00
Atoms (fractional coordinates):
1 Cl 0.000 0.000 0.981
2 P 0.667 0.333 0.423
3 In 0.333 0.667 0.596

[2]
Below is a relaxed structure of Fe2Ir, with properties calculated at the GGA-PBEsol level.

The space-group type is Fd-3m (227). The formation energy from the elements comes out at 0.054 eV per atom.

Unit cell a=4.630 b=4.630 c=4.630 alpha=60.00 beta=60.00 gamma=60.00
Atoms (fractional coordinates):
1 Fe 0.625 0.125 0.625
2 Fe 0.125 0.625 0.625
3 Fe 0.625 0.625 0.125
4 Ir 0.000 0.000 0.000
5 Fe 0.625 0.625 0.625
6 Ir 0.250 0.250 0.250

[3]
Below is a relaxed structure of SrEuP2Pt2, with properties calculated at the GGA-PBEsol level.

The space-group type is P-3m1 (164). The formation energy from the elements comes out at -1.166 eV per atom.

Unit cell a=4.073 b=4.073 c=8.633 alpha=90.00 beta=90.00 gamma=120.00
Atoms (fractional coordinates):
1 Sr 0.000 0.000 0.500
2 Eu 0.000 0.000 0.000
3 P 0.333 0.667 0.237
4 Pt 0.333 0.667 0.757
5 Pt 0.667 0.333 0.243
6 P 0.667 0.333 0.763

[4]
Below is a relaxed structure of HfMgW3, with properties calculated at the GGA-PBEsol level.

The space-group type is Pm-3m (221). The formation energy from the elements comes out at 2.188 eV per atom.

Unit cell a=4.551 b=4.551 c=4.551 alpha=90.00 beta=90.00 gamma=90.00
Atoms (fractional coordinates):
1 Hf 0.500 0.500 0.500
2 Mg 0.000 0.000 0.000
3 W 0.500 0.000 0.000
4 W 0.000 0.500 0.000
5 W 0.000 0.000 0.500

Number 1: DOS at the Fermi energy 0.779 states/eV per atom, volume 23.36 A^3/atom. Number 2: DOS at the Fermi energy 1.461 states/eV per atom, volume 11.70 A^3/atom. Number 3: DOS at the Fermi energy 1.454 states/eV per atom, volume 20.67 A^3/atom. Number 4: DOS at the Fermi energy 1.148 states/eV per atom, volume 18.86 A^3/atom.